First-principles (PBE) data for In2AuBr after structural relaxation, as listed in Alexandria.

## Properties
- Electronic total energy: -2.89 eV/atom
- Offset from the most stable computed form: 0.251 eV per formula unit
- Formation energy (no corrections): -1.12 eV per formula unit
- Total magnetic moment: 0.000 μB per formula unit

Lattice parameters (Å, degrees): 5.5066 3.7843 5.7945 69.61 90.00 90.00
Positions (direct):
In  0.5000  0.3730  0.3882
In  0.0000  0.1051  0.9275
Br  0.5000  0.6357  0.8227
Au  0.0000  0.3862  0.3616